Entry 1:
{
  "formula": "K2SrSn2Se4",
  "functional": "PBE",
  "state": "optimized geometry",
  "magnetic_moment_mub_per_atom": 0.000,
  "formation_energy_uncorrected_ev_per_atom": -1.06,
  "cell": [[-2.0274, -3.4414, 1.4977], [8.2166, -3.3700, -2.6959], [-0.3057, 3.5829, 7.8192]],
  "species": ["Sn", "Sn", "Se", "Se", "Sr", "Se", "Se", "K", "K"],
  "frac_coords": [[0.3041, 0.6083, 0.9468], [0.6959, 0.3917, 0.0532], [0.1886, 0.3771, 0.2578], [0.8114, 0.6229, 0.7422], [0.0000, 0.0000, 0.0000], [0.4568, 0.9135, 0.2171], [0.5432, 0.0865, 0.7829], [0.8845, 0.7690, 0.4522], [0.1155, 0.2310, 0.5478]]
}

Entry 2:
{
  "formula": "ReTcBr2",
  "functional": "PBE",
  "state": "optimized geometry",
  "magnetic_moment_mub_per_atom": 0.000,
  "formation_energy_uncorrected_ev_per_atom": 1.44,
  "relative_energy_mev_per_atom": 1246,
  "cell": [[-3.0887, 2.9546, -1.4789], [-2.9281, -1.5098, 3.0989], [1.0827, 2.1742, 2.0823]],
  "species": ["Br", "Tc", "Re", "Br"],
  "frac_coords": [[0.5000, 0.5000, 0.0000], [0.0000, 0.5000, 0.5000], [0.5000, 0.0000, 0.5000], [0.0000, 0.0000, 0.0000]]
}

Entry 3:
{
  "formula": "PuTl2SnF6",
  "functional": "PBE",
  "state": "optimized geometry",
  "magnetic_moment_mub_per_atom": 0.485,
  "formation_energy_uncorrected_ev_per_atom": -2.37,
  "cell": [[-4.3957, 0.1942, 3.7977], [4.7274, -4.4597, 5.6998], [3.2303, 7.6996, 3.3452]],
  "species": ["F", "F", "Pu", "Tl", "Tl", "Tl", "F", "F", "Sn", "F", "Sn", "Pu", "F", "F", "F", "F", "Tl", "F", "F", "F"],
  "frac_coords": [[0.0000, 0.8234, 0.7492], [0.2373, 0.9615, 0.5000], [0.0000, 0.8406, 0.0000], [0.0000, 0.4190, 0.8131], [0.5000, 0.5810, 0.3131], [0.5000, 0.5810, 0.6869], [0.7373, 0.0385, 0.0000], [0.5000, 0.1766, 0.2492], [0.0000, 0.7691, 0.5000], [0.0000, 0.8234, 0.2508], [0.5000, 0.2309, 0.0000], [0.5000, 0.1594, 0.5000], [0.2627, 0.0385, 0.0000], [0.7627, 0.9615, 0.5000], [0.2617, 0.3607, 0.5000], [0.7383, 0.3607, 0.5000], [0.0000, 0.4190, 0.1869], [0.2383, 0.6393, 0.0000], [0.5000, 0.1766, 0.7508], [0.7617, 0.6393, 0.0000]]
}

Entry 4:
{
  "formula": "ReSb3Se",
  "functional": "PBE",
  "state": "optimized geometry",
  "magnetic_moment_mub_per_atom": 0.000,
  "formation_energy_uncorrected_ev_per_atom": 0.52,
  "relative_energy_mev_per_atom": 0,
  "cell": [[-0.0193, -5.0801, 0.8503], [3.8770, 0.5455, 3.3470], [-3.3911, 0.6526, 3.8217]],
  "species": ["Sb", "Re", "Sb", "Sb", "Se"],
  "frac_coords": [[0.0000, 0.5000, 0.0000], [0.0000, 0.0000, 0.0000], [0.5000, 0.0000, 0.0000], [0.0000, 0.0000, 0.5000], [0.5000, 0.5000, 0.5000]]
}

Repeat the first record exactly.
{
  "formula": "K2SrSn2Se4",
  "functional": "PBE",
  "state": "optimized geometry",
  "magnetic_moment_mub_per_atom": 0.000,
  "formation_energy_uncorrected_ev_per_atom": -1.06,
  "cell": [[-2.0274, -3.4414, 1.4977], [8.2166, -3.3700, -2.6959], [-0.3057, 3.5829, 7.8192]],
  "species": ["Sn", "Sn", "Se", "Se", "Sr", "Se", "Se", "K", "K"],
  "frac_coords": [[0.3041, 0.6083, 0.9468], [0.6959, 0.3917, 0.0532], [0.1886, 0.3771, 0.2578], [0.8114, 0.6229, 0.7422], [0.0000, 0.0000, 0.0000], [0.4568, 0.9135, 0.2171], [0.5432, 0.0865, 0.7829], [0.8845, 0.7690, 0.4522], [0.1155, 0.2310, 0.5478]]
}